Record 1
The following is a DFT calculation (PBE) of a geometry-optimized HoAg2GeTe4 structure.

Geometry as POSCAR:
```
HoAg2GeTe4
1.0
7.207 0.000 0.000
0.000 4.298 0.000
-2.516 0.000 7.124
Ho Ag Ge Te
1 2 1 4
direct
0.000 0.000 0.000
0.500 0.000 0.500
0.500 0.500 0.000
0.000 0.500 0.500
0.251 0.000 0.742
0.251 0.500 0.258
0.749 0.000 0.258
0.749 0.500 0.742
```

Output
**Fermi-level density of states**: 5.6 states/eV per cell
**E_tot**: -0.1411 hartree per atom
**Total moment**: 0.00 μB per cell
**Symmetry**: P2/m (10)
**Uncorrected formation energy**: -0.407 eV per atom


Record 2
The following is a DFT calculation (PBE) of a geometry-optimized Ca2EuTi structure.

Geometry as POSCAR:
```
Ca2EuTi
1.0
1.799 1.039 11.950
-1.799 1.039 11.950
0.000 -2.077 11.950
Ca Eu Ti
2 1 1
direct
0.240 0.240 0.240
0.760 0.760 0.760
0.000 0.000 0.000
0.500 0.500 0.500
```

Output
**Fermi-level density of states**: 4.1 states/eV per cell
**E_tot**: -0.1890 hartree per atom
**Total moment**: 9.34 μB per cell
**Symmetry**: R-3m (166)
**Energy relative to the elements**: 0.40 eV per atom


Record 3
The following is a DFT calculation (PBE) of a geometry-optimized La3ZnTc structure.

Geometry as POSCAR:
```
La3ZnTc
1.0
3.344 -5.068 0.000
3.344 5.068 0.000
-3.014 0.000 8.088
La Zn Tc
6 2 2
direct
0.094 0.711 0.789
0.289 0.906 0.211
0.304 0.304 0.604
0.696 0.696 0.396
0.711 0.094 0.789
0.906 0.289 0.211
0.311 0.311 0.999
0.689 0.689 0.001
0.253 0.747 0.500
0.747 0.253 0.500
```

Output
**Fermi-level density of states**: 9.2 states/eV per cell
**E_tot**: -0.1987 hartree per atom
**Total moment**: 0.00 μB per cell
**Symmetry**: C2/m (12)
**Energy relative to the elements**: -0.12 eV per atom


Record 4
The following is a DFT calculation (PBE) of a geometry-optimized MgCuAu structure.

Geometry as POSCAR:
```
MgCuAu
1.0
4.458 0.000 0.000
-2.229 3.861 0.000
0.000 0.000 2.915
Mg Cu Au
1 1 1
direct
0.000 0.000 0.000
0.667 0.333 0.500
0.333 0.667 0.500
```

Output
**Fermi-level density of states**: 1.1 states/eV per cell
**E_tot**: -0.1194 hartree per atom
**Total moment**: 0.00 μB per cell
**Symmetry**: P-6m2 (187)
**Energy relative to the elements**: -0.26 eV per atom


- Which of these has the highest Fermi-level density of states?
  La3ZnTc


- The highest E_tot belongs to which entry?
  MgCuAu


- The lowest Fermi-level density of states belongs to which entry?
  MgCuAu